a | {
  "formula": "KTl12",
  "functional": "PBE",
  "state": "relaxed",
  "sg": "Fm-3m",
  "lattice": [[9.2630, 0.0000, 0.0000], [4.6315, 8.0220, 0.0000], [4.6315, 2.6740, 7.5632]],
  "species": ["Tl", "Tl", "Tl", "Tl", "Tl", "Tl", "Tl", "Tl", "Tl", "Tl", "Tl", "Tl", "K"],
  "frac_coords": [[0.5000, 0.5000, 0.8405], [0.5000, 0.5000, 0.1595], [0.5000, 0.8405, 0.5000], [0.5000, 0.1595, 0.8405], [0.1595, 0.5000, 0.5000], [0.1595, 0.8405, 0.5000], [0.8405, 0.5000, 0.5000], [0.1595, 0.5000, 0.8405], [0.5000, 0.1595, 0.5000], [0.5000, 0.8405, 0.1595], [0.8405, 0.1595, 0.5000], [0.8405, 0.5000, 0.1595], [0.0000, 0.0000, 0.0000]]
}

=====

b | {
  "formula": "KTl12",
  "functional": "PBE",
  "state": "relaxed",
  "sg": "I4/mmm",
  "lattice": [[1.7998, 6.3294, 0.6719], [0.4320, 2.4498, 8.3237], [8.6159, 0.9438, 0.5891]],
  "species": ["Tl", "Tl", "Tl", "Tl", "Tl", "Tl", "Tl", "Tl", "Tl", "Tl", "Tl", "Tl", "K"],
  "frac_coords": [[0.5000, 0.7861, 0.2139], [0.7139, 0.7861, 0.7861], [0.5000, 0.5000, 0.0000], [0.0000, 0.6428, 0.3572], [0.5000, 0.2139, 0.7861], [0.2861, 0.2139, 0.2139], [0.0000, 0.3572, 0.6428], [0.6428, 0.3572, 0.3572], [0.0000, 0.0000, 0.5000], [0.3572, 0.6428, 0.6428], [0.0000, 0.5000, 0.0000], [0.5000, 0.0000, 0.5000], [0.0000, 0.0000, 0.0000]]
}

=====

Need the numbers? Relative energies in eV/atom: a 0.217; b 0.000.